# 1
# RbReSi2N GGA-PBE optimized geometry
data_RbReSi2N
_cell_length_a 5.219
_cell_length_b 5.219
_cell_length_c 4.911
_cell_angle_alpha 90.00
_cell_angle_beta 90.00
_cell_angle_gamma 90.00
_symmetry_space_group_name_H-M 'P 4/m m m'
_symmetry_Int_Tables_number 123
_symmetry_space_group_name_Hall '-P 4 2'
loop_
_atom_site_label
_atom_site_fract_x
_atom_site_fract_y
_atom_site_fract_z
Rb1 0.000 0.000 0.000
Re1 0.000 0.000 0.500
Si1 0.000 0.500 0.000
N1 0.500 0.500 0.500
# Final energy in eV per cell: -11.391

***

# 2
# LaZn2In GGA-PBE optimized geometry
data_LaZn2In
_cell_length_a 4.733
_cell_length_b 4.733
_cell_length_c 4.258
_cell_angle_alpha 90.00
_cell_angle_beta 90.00
_cell_angle_gamma 90.00
_symmetry_space_group_name_H-M 'P 4/m m m'
_symmetry_Int_Tables_number 123
_symmetry_space_group_name_Hall '-P 4 2'
loop_
_atom_site_label
_atom_site_fract_x
_atom_site_fract_y
_atom_site_fract_z
La1 0.000 0.000 0.000
Zn1 0.000 0.500 0.500
In1 0.500 0.500 0.000
# Formation energy from the elements in eV per atom: -0.256
# Final energy in eV per cell: -11.237

***

# 3
# AcZrAs2O8 GGA-PBE optimized geometry
data_AcZrAs2O8
_cell_length_a 7.305
_cell_length_b 7.305
_cell_length_c 6.546
_cell_angle_alpha 90.00
_cell_angle_beta 90.00
_cell_angle_gamma 90.00
_symmetry_space_group_name_H-M 'I -4 m 2'
_symmetry_Int_Tables_number 119
_symmetry_space_group_name_Hall 'I -4 -2'
loop_
_atom_site_label
_atom_site_fract_x
_atom_site_fract_y
_atom_site_fract_z
Ac1 0.000 0.000 0.000
Zr1 0.000 0.500 0.750
As1 0.000 0.000 0.500
As2 0.000 0.500 0.250
O1 0.000 0.205 0.673
O2 0.000 0.330 0.069
# Final energy in eV per cell: -174.227